Material: Li3Sm3GeS8
Method: DFT, PBE
State: optimized geometry

abc: 7.8959 7.8959 18.3760
angles: 90.00 90.00 120.00
Closest atoms and distances in Å follow each position.
Space group R-3m (No. 166, hexagonal axes)
One atom of each set of equivalent atoms:
Li  0.0000  0.5000  0.0000  6 S 2.69-2.73
Sm  0.0000  0.5000  0.5000  6 S 2.76-2.82
Ge  0.0000  0.0000  0.5000  6 S 2.49
S  0.0000  0.0000  0.2512  3 Li 2.73, 3 Sm 2.76
S  0.0384  0.5192  0.2458  1 Ge 2.49, 2 Li 2.69

Computed properties:
total energy = -5.275 eV/atom
DOS at the Fermi energy = 0.094 states/eV per atom
crystal system = trigonal
calculated volume = 992.2 Å³/cell

***

Material: Sr2GeI6
Method: DFT, PBE
State: optimized geometry

abc: 7.5739 7.5739 14.4326
angles: 90.00 90.00 90.00
Closest atoms and distances in Å follow each position.
Space group P4_2/mnm (No. 136)
One atom of each set of equivalent atoms:
Sr  0.0000  0.0000  0.1664  6 I 3.29-3.31
Ge  0.0000  0.0000  0.5000  6 I 3.04-3.08
I  0.1912  0.1912  0.3446  1 Ge 3.04, 2 Sr 3.29-3.31
I  0.2122  0.2122  0.0000  1 Ge 3.08, 2 Sr 3.31

Computed properties:
total energy = -3.112 eV/atom
DOS at the Fermi energy = 0.000 states/eV per atom
crystal system = tetragonal
calculated volume = 827.9 Å³/cell

***

Material: Ac2TbPdS5
Method: DFT, PBE
State: optimized geometry

abc: 4.0223 17.0897 12.4491
angles: 90.00 90.00 90.00
Closest atoms and distances in Å follow each position.
Space group Cmc2_1 (No. 36)
One atom of each set of equivalent atoms:
Ac  0.0000  0.1158  0.0000  8 S 3.06-3.25
Ac  0.0000  0.1246  0.3521  8 S 3.01-3.23
Tb  0.0000  0.1778  0.6782  6 S 2.75-2.82
Pd  0.0000  0.4491  0.0838  4 S 2.41-2.57
S  0.0000  0.0168  0.6795  2 Pd 2.41
S  0.0000  0.3055  0.0215  1 Pd 2.57, 2 Tb 2.82
S  0.0000  0.3065  0.3340  2 Tb 2.81, 1 Ac 3.12
S  0.0000  0.3396  0.6748  1 Tb 2.77, 4 Ac 3.05-3.06
S  0.0000  0.4994  0.4038  1 Pd 2.41

Computed properties:
total energy = -6.092 eV/atom
DOS at the Fermi energy = 0.268 states/eV per atom
crystal system = orthorhombic
calculated volume = 855.8 Å³/cell

***

Material: PrThSb
Method: DFT, PBE
State: optimized geometry

abc: 5.4337 5.4337 3.7274
angles: 90.00 90.00 120.00
Closest atoms and distances in Å follow each position.
Space group P3m1 (No. 156)
One atom of each set of equivalent atoms:
Pr  0.0000  0.0000  0.0000  3 Sb 3.30, 3 Th 3.61
Th  0.3333  0.6667  0.5231  3 Sb 3.28, 3 Pr 3.61
Sb  0.6667  0.3333  0.2704  3 Th 3.28, 3 Pr 3.30

Computed properties:
total energy = -5.663 eV/atom
DOS at the Fermi energy = 1.356 states/eV per atom
crystal system = trigonal
calculated volume = 95.3 Å³/cell